Record 1
A geometry-optimized Li2YBe structure, computed with GGA-PBEsol.

Geometry as POSCAR:
```
Li2YBe
1.0
-1.686 -1.829 -1.944
2.083 -3.931 1.892
-3.816 2.600 3.426
Y Be Li
1 1 2
direct
0.500 0.000 0.000
0.000 0.500 0.000
0.707 0.707 0.414
0.293 0.293 0.586
```

Output
energy of formation: 218 meV/atom
SG: Immm (71)

Record 2
A geometry-optimized Li2YBe structure, computed with GGA-PBEsol.

Geometry as POSCAR:
```
Li2YBe
1.0
-3.132 2.647 1.658
-0.354 -1.272 -4.537
-3.089 -2.976 -1.081
Y Be Li
1 1 2
direct
0.500 0.000 0.500
0.000 0.000 0.000
0.250 0.500 0.250
0.750 0.500 0.750
```

Output
energy of formation: 291 meV/atom
SG: I4/mmm (139)

Record 3
A geometry-optimized LiY2Be structure, computed with GGA-PBEsol.

Geometry as POSCAR:
```
LiY2Be
1.0
4.169 0.000 0.000
0.000 4.169 0.000
-2.084 -2.084 4.940
Be Li Y
1 1 2
direct
0.500 0.500 0.000
0.250 0.750 0.500
0.000 0.000 0.000
0.750 0.250 0.500
```

Output
energy of formation: 306 meV/atom
SG: I-4m2 (119)

Record 4
A geometry-optimized Li2YBe2 structure, computed with GGA-PBEsol.

Geometry as POSCAR:
```
Li2YBe2
1.0
-2.702 3.377 0.653
-0.884 0.121 -4.282
-1.301 -4.333 2.380
Y Be Li
1 2 2
direct
0.000 0.000 0.000
0.250 0.750 0.500
0.750 0.250 0.500
0.365 0.365 0.730
0.635 0.635 0.270
```

Output
energy of formation: 297 meV/atom
SG: I4/mmm (139)

Record 5
A geometry-optimized Li2YBe structure, computed with GGA-PBEsol.

Geometry as POSCAR:
```
Li2YBe
1.0
4.673 0.000 0.000
-2.336 4.046 -0.064
0.000 -2.637 3.858
Y Be Li
1 1 2
direct
0.500 0.000 0.500
0.250 0.500 0.750
0.000 0.000 0.000
0.750 0.500 0.250
```

Output
energy of formation: 244 meV/atom
SG: F-43m (216)

Record 6
A geometry-optimized Li2BeZn structure, computed with GGA-PBEsol.

Geometry as POSCAR:
```
Li2BeZn
1.0
-1.924 -0.449 -1.404
2.302 -1.898 -2.549
-0.850 -4.550 2.620
Be Zn Li
1 1 2
direct
0.500 0.500 0.725
0.000 0.000 0.527
0.000 0.000 0.987
0.500 0.500 0.262
```

Output
energy of formation: 43 meV/atom
SG: Pmm2 (25)

Record 7
A geometry-optimized LiBe2Zn structure, computed with GGA-PBEsol.

Geometry as POSCAR:
```
LiBe2Zn
1.0
2.398 0.000 0.000
0.000 4.385 -0.086
0.000 -1.622 4.075
Be Zn Li
2 1 1
direct
0.000 0.500 0.000
0.000 0.000 0.500
0.500 0.500 0.500
0.500 0.000 0.000
```

Output
energy of formation: 188 meV/atom
SG: Cmmm (65)

Record 8
A geometry-optimized Li2BeZn structure, computed with GGA-PBEsol.

Geometry as POSCAR:
```
Li2BeZn
1.0
2.818 0.000 0.000
0.000 2.818 0.000
0.000 0.000 6.755
Be Zn Li
1 1 2
direct
0.500 0.500 0.724
0.000 0.000 0.539
0.000 0.000 0.960
0.500 0.500 0.278
```

Output
energy of formation: 45 meV/atom
SG: P4mm (99)

Result set for final energy: -3.4709, -3.3976, -4.5963, -3.4538, -3.4449, -2.3354, -2.6993, -2.3336 eV/atom, one per record in the order listed.